Density functional theory data (GGA-PBE) for an optimized crystal structure of Mg2Si4Tc3.

Results
The density of states at the Fermi level comes out at 0.67 states/eV per atom. Its calculated volume is 14.87 Å³/atom. For the uncorrected formation energy, the calculation gives -39.34 kJ per mole of atoms.

Cell and atoms, written as POSCAR:
```
Mg2Si4Tc3
1.0
6.336 -0.039 0.000
-2.111 6.317 0.000
0.000 0.000 6.702
Tc Si Mg
6 8 4
Direct
0.500 0.500 0.000
0.257 0.232 0.662
0.243 0.768 0.162
0.000 0.500 0.500
0.743 0.768 0.338
0.757 0.232 0.838
0.871 0.098 0.535
0.363 0.498 0.361
0.371 0.098 0.965
0.129 0.902 0.465
0.629 0.902 0.035
0.863 0.498 0.139
0.637 0.502 0.639
0.137 0.502 0.861
0.043 0.178 0.163
0.543 0.178 0.337
0.957 0.822 0.837
0.457 0.822 0.663
```

=====

Density functional theory data (GGA-PBE) for an optimized crystal structure of Mg3Tl7.

Results
The density of states at the Fermi level comes out at 0.56 states/eV per atom. The calculation puts the energy above the most stable polymorph in this dataset at 3 meV per atom. Its calculated volume is 28.07 Å³/atom.

Cell and atoms, written as POSCAR:
```
Mg3Tl7
1.0
-2.759 -5.603 -1.716
-0.491 -2.704 9.620
-7.582 5.013 -4.180
Tl Mg
14 6
Direct
0.032 0.667 0.333
0.898 0.882 0.118
0.398 0.118 0.882
0.192 0.060 0.530
0.398 0.763 0.882
0.692 0.940 0.470
0.898 0.882 0.763
0.532 0.333 0.667
0.398 0.118 0.237
0.692 0.530 0.470
0.898 0.237 0.118
0.692 0.530 0.060
0.192 0.470 0.530
0.192 0.470 0.940
0.368 0.412 0.206
0.368 0.794 0.206
0.868 0.206 0.794
0.868 0.206 0.412
0.868 0.588 0.794
0.368 0.794 0.588
```

=====

Density functional theory data (GGA-PBE) for an optimized crystal structure of ThCuN.

Results
The density of states at the Fermi level comes out at 0.29 states/eV per atom. Its calculated volume is 17.01 Å³/atom. For the uncorrected formation energy, the calculation gives -85.17 kJ per mole of atoms.

Cell and atoms, written as POSCAR:
```
ThCuN
1.0
3.462 0.000 0.000
0.000 3.462 0.000
0.000 0.000 8.514
Th N Cu
2 2 2
Direct
0.000 0.500 0.671
0.500 0.000 0.329
0.000 0.500 0.390
0.500 0.000 0.610
0.500 0.500 0.000
0.000 0.000 0.000
```

=====

Density functional theory data (GGA-PBE) for an optimized crystal structure of CrSnSe2.

Results
The density of states at the Fermi level comes out at 0.92 states/eV per atom. Its calculated volume is 21.06 Å³/atom. For the uncorrected formation energy, the calculation gives -8.27 kJ per mole of atoms.

Cell and atoms, written as POSCAR:
```
CrSnSe2
1.0
1.536 -14.043 0.000
1.536 14.043 0.000
0.000 0.000 3.906
Cr Se Sn
2 4 2
Direct
0.692 0.308 0.750
0.308 0.692 0.250
0.875 0.125 0.250
0.217 0.783 0.250
0.125 0.875 0.750
0.783 0.217 0.750
0.049 0.951 0.250
0.951 0.049 0.750
```